Below is Cr2TeRu at its PBEsol-relaxed geometry, with properties calculated at the SCAN level.

It has space group Cm (No. 8), with a = 8.8730 Å, b = 3.0628 Å, c = 4.4887 Å, α = 90.00°, β = 106.70° and γ = 90.00°. The inequivalent atoms are Cr at (0.0000, 0.0000, 0.0000), Cr at (0.2210, 0.5000, 0.1181), Te at (0.2422, 0.0000, 0.6534) and Ru at (0.4949, 0.0000, 0.4790).

The value obtained for the total magnetization is 0.6 μB/f.u. As for the density of states at the Fermi level: 2.29 states/eV/f.u. The value obtained for the calculated total energy is -27.073 eV per atom.


Below is LiMgMn at its PBEsol-relaxed geometry, with properties calculated at the SCAN level.

It has space group F-43m (No. 216), with a = 6.3972 Å, b = 6.3972 Å, c = 6.3972 Å, α = 90.00°, β = 90.00° and γ = 90.00°. The inequivalent atoms are Li at (0.0000, 0.0000, 0.0000), Mg at (0.2500, 0.2500, 0.7500) and Mn at (0.0000, 0.0000, 0.5000).

The value obtained for the total magnetization is 4.3 μB/f.u. The calculation puts the energy above the lowest structure with this stoichiometry at 61.9 meV/atom. As for the density of states at the Fermi level: 2.02 states/eV/f.u. The calculation puts the formation energy from the elements at 0.52 eV/atom.


Below is SrH3Pt at its PBEsol-relaxed geometry, with properties calculated at the SCAN level.

It has space group Pm-3m (No. 221), with a = 3.7919 Å, b = 3.7919 Å, c = 3.7919 Å, α = 90.00°, β = 90.00° and γ = 90.00°. The inequivalent atoms are Sr at (0.0000, 0.0000, 0.0000), H at (0.0000, 0.5000, 0.5000) and Pt at (0.5000, 0.5000, 0.5000).

The value obtained for the total magnetization is 0.0 μB/f.u. As for the density of states at the Fermi level: 1.89 states/eV/f.u. The value obtained for the calculated total energy is -21.218 eV per atom.


Below is LaSI at its PBEsol-relaxed geometry, with properties calculated at the SCAN level.

It has space group Pbca (No. 61), with a = 6.9604 Å, b = 14.5052 Å, c = 7.3003 Å, α = 90.00°, β = 90.00° and γ = 90.00°. The inequivalent atoms are La at (0.2443, 0.0856, 0.0284), S at (0.0008, 0.0219, 0.7437) and I at (0.1890, 0.6972, 0.4127).

The value obtained for the total magnetization is 0.0 μB/f.u. As for the density of states at the Fermi level: 0.00 states/eV/f.u. The value obtained for the calculated total energy is -31.993 eV per atom.